This record from the Alexandria database describes CeCoO after structural relaxation. The functional is PBE with a Hubbard U.

- E (eV per cell) = -41.1
- volume (Å³/f.u.) = 45.4
- N(E_F) (states/eV per cell) = 3.7

Structure (CIF):
```
data_CeCoO
_cell_length_a 3.467
_cell_length_b 3.472
_cell_length_c 7.548
_cell_angle_alpha 90.00
_cell_angle_beta 90.15
_cell_angle_gamma 90.00
_symmetry_space_group_name_H-M 'P 1 21/m 1'
_symmetry_Int_Tables_number 11
loop_
_symmetry_equiv_pos_as_xyz
'x,y,z'
'-x,-y,-z'
'-x,y+1/2,-z'
'x,-y+1/2,z'
loop_
_atom_site_label
_atom_site_fract_x
_atom_site_fract_y
_atom_site_fract_z
_atom_site_occupancy
Ce1 0.249 0.250 0.307 1
Co1 0.250 0.250 0.010 1
O1 0.251 0.250 0.614 1
```